Crystalline Dy4TlHg3 at its relaxed geometry, computed with PBE.

Lattice parameters (Å, degrees): 3.8289 4.8288 11.6658 90.00 90.00 90.00
Closest atoms and distances in Å follow each position.
Element x y z (fractional)
Dy 0.5000 0.5000 0.3601  6 Hg 3.15-3.26, 1 Tl 3.20
Dy 0.0000 0.5000 0.8488  5 Hg 3.07-3.16, 2 Tl 3.36
Dy 0.0000 0.0000 0.1502  3 Hg 3.08-3.39, 4 Tl 3.17
Dy 0.5000 0.0000 0.6439  7 Hg 3.11-3.29
Tl 0.5000 0.5000 0.0858  2 Hg 3.16, 7 Dy 3.17-3.36
Hg 0.0000 0.5000 0.5860  7 Dy 3.07-3.26, 2 Hg 3.14
Hg 0.0000 0.0000 0.4144  7 Dy 3.08-3.29, 2 Hg 3.14
Hg 0.5000 0.0000 0.9107  7 Dy 3.11-3.39, 2 Tl 3.16

The value obtained for the total energy is -3.123 eV per atom. Its density of states at the Fermi level is 6.271 states/eV per cell. Its crystal system is orthorhombic. For the distance to the lowest polymorph of the same formula, the calculation gives 32 meV per atom.